Entry 1:
# CuTc2Pb

A geometry-optimized CuTc2Pb structure (PBE, Alexandria). Values from VASP.

```
&SYSTEM
  ibrav = 0, nat = 4, ntyp = 3
/
ATOMIC_SPECIES
Cu 63.55 Cu.upf
Tc 98.00 Tc.upf
Pb 207.20 Pb.upf
CELL_PARAMETERS angstrom
1.5050 0.8689 8.4995
-1.5050 0.8689 8.4995
0.0000 -1.7379 8.4995
ATOMIC_POSITIONS angstrom
Cu 0.0000 0.0000 0.0000
Tc 0.0000 0.0000 6.5485
Tc 0.0000 0.0000 18.9501
Pb 0.0000 0.0000 12.7493
```

Summary:
Energy of formation: 0.804 eV per atom
Space-group type: R-3m
ρ: 11.621 g cm⁻³


Entry 2:
# CuTc2Pb

A geometry-optimized CuTc2Pb structure (PBE, Alexandria). Values from VASP.

```
&SYSTEM
  ibrav = 0, nat = 4, ntyp = 3
/
ATOMIC_SPECIES
Cu 63.55 Cu.upf
Tc 98.00 Tc.upf
Pb 207.20 Pb.upf
CELL_PARAMETERS angstrom
3.2703 0.0000 0.0000
0.0000 3.2703 0.0000
0.0000 0.0000 6.2332
ATOMIC_POSITIONS angstrom
Cu 0.0000 0.0000 0.0000
Tc 1.6351 1.6351 1.2221
Tc 1.6351 1.6351 5.0112
Pb 0.0000 0.0000 3.1166
```

Summary:
Energy of formation: 0.636 eV per atom
Space-group type: P4/mmm
ρ: 11.627 g cm⁻³


Entry 3:
# CuTcPb

A geometry-optimized CuTcPb structure (PBE, Alexandria). Values from VASP.

```
&SYSTEM
  ibrav = 0, nat = 3, ntyp = 3
/
ATOMIC_SPECIES
Cu 63.55 Cu.upf
Tc 98.00 Tc.upf
Pb 207.20 Pb.upf
CELL_PARAMETERS angstrom
-1.6547 1.6547 4.7994
1.6547 -1.6547 4.7994
1.6547 1.6547 -4.7994
ATOMIC_POSITIONS angstrom
Cu 0.0000 0.0000 0.0000
Tc 0.0000 0.0000 3.6810
Pb 0.0000 0.0000 6.6013
```

Summary:
Energy of formation: 0.643 eV per atom
Space-group type: I4mm
Energy above the most stable polymorph in this dataset: 0 meV per atom
ρ: 11.649 g cm⁻³


Entry 4:
# CuTcPb2

A geometry-optimized CuTcPb2 structure (PBE, Alexandria). Values from VASP.

```
&SYSTEM
  ibrav = 0, nat = 4, ntyp = 3
/
ATOMIC_SPECIES
Cu 63.55 Cu.upf
Tc 98.00 Tc.upf
Pb 207.20 Pb.upf
CELL_PARAMETERS angstrom
-2.2351 2.2351 3.9705
2.2351 -2.2351 3.9705
2.2351 2.2351 -3.9705
ATOMIC_POSITIONS angstrom
Cu 0.0000 0.0000 0.0000
Tc 0.0000 0.0000 3.9705
Pb 2.2351 0.0000 1.9853
Pb 0.0000 2.2351 1.9853
```

Summary:
Energy of formation: 0.665 eV per atom
Space-group type: I4/mmm
Energy above the most stable polymorph in this dataset: 263 meV per atom
ρ: 12.053 g cm⁻³